Here is a geometry-optimized VNi3Mo structure from Alexandria via LeMat-Bulk. Energies are from GGA-PBE.

Lattice parameters (Å, degrees): 4.183 4.183 4.183 90.00 90.00 90.00
Fractional coordinates of all 5 atoms:
V: 0.000 0.000 0.000
Ni: 0.000 0.000 0.500
Ni: 0.000 0.500 0.000
Ni: 0.500 0.000 0.000
Mo: 0.500 0.500 0.500

The value obtained for the total magnetization is 0.2 Bohr magnetons per cell. As for the formation energy: 1141.4 meV/atom. As for the calculated total energy: -6.317 eV/atom. The calculation puts the calculated volume at 73.17 Å³ per cell. The space-group type is Pm-3m (221). For the energy relative to the lowest polymorph listed for this composition, the calculation gives 1.0175 eV per atom.

Here is a geometry-optimized V4NiMo2 structure from Alexandria via LeMat-Bulk. Energies are from GGA-PBE.

Lattice parameters (Å, degrees): 6.917 6.917 6.917 143.93 143.93 51.93
Fractional coordinates of all 7 atoms:
V: 0.000 0.500 0.500
V: 0.189 0.189 0.000
V: 0.500 0.000 0.500
V: 0.811 0.811 0.000
Ni: 0.000 0.000 0.000
Mo: 0.377 0.377 0.000
Mo: 0.623 0.623 0.000

The value obtained for the total magnetization is 0.0 Bohr magnetons per cell. As for the formation energy: 937.6 meV/atom. As for the calculated total energy: -8.194 eV/atom. The calculation puts the calculated volume at 114.07 Å³ per cell. The space-group type is I4/mmm (139).